## PuMgGaIr (PBE)

Data for an optimized crystal structure of PuMgGaIr.

a b c (Å): 6.7370 6.7370 6.7370
angles (deg): 90.00 90.00 90.00
Space group F-43m (No. 216)
Symmetry-distinct sites (fractional):
Pu 0.0000 0.0000 0.0000 x4
Mg 0.0000 0.0000 0.5000 x4
Ga 0.2500 0.2500 0.7500 x4
Ir 0.2500 0.2500 0.2500 x4

Properties
- Calculated volume: 305.8 Å³/cell
- Magnetic moment: 1.2375 μB/atom
- Calculated density: 11.5 Mg/m³
- Total DFT energy (no corrections): -7.261 eV per atom

## RbMg2GaIr (PBE)

Data for an optimized crystal structure of RbMg2GaIr.

a b c (Å): 5.1896 5.1896 4.8840
angles (deg): 90.00 90.00 90.00
Space group P4/mmm (No. 123)
Symmetry-distinct sites (fractional):
Rb 0.0000 0.0000 0.0000 x1
Mg 0.0000 0.5000 0.5000 x2
Ga 0.5000 0.5000 0.0000 x1
Ir 0.5000 0.5000 0.5000 x1

Properties
- Calculated volume: 131.5 Å³/cell
- Magnetic moment: 0.0000 μB/atom
- Calculated density: 5.0 Mg/m³
- Total DFT energy (no corrections): -3.433 eV per atom

## RbMgGa2Ir (PBE)

Data for an optimized crystal structure of RbMgGa2Ir.

a b c (Å): 4.8998 4.8998 5.1852
angles (deg): 90.00 90.00 90.00
Space group P4/mmm (No. 123)
Symmetry-distinct sites (fractional):
Rb 0.0000 0.0000 0.0000 x1
Mg 0.5000 0.5000 0.0000 x1
Ga 0.0000 0.5000 0.5000 x2
Ir 0.5000 0.5000 0.5000 x1

Properties
- Calculated volume: 124.5 Å³/cell
- Magnetic moment: 0.0000 μB/atom
- Calculated density: 5.9 Mg/m³
- Total DFT energy (no corrections): -3.803 eV per atom

## Mg3Ga3IrRh2 (PBE)

Data for an optimized crystal structure of Mg3Ga3IrRh2.

a b c (Å): 7.3860 7.3860 3.0079
angles (deg): 90.00 90.00 120.00
Space group P-62m (No. 189)
Symmetry-distinct sites (fractional):
Mg 0.0000 0.2908 0.0000 x3
Ga 0.0000 0.6304 0.5000 x3
Ir 0.0000 0.0000 0.5000 x1
Rh 0.3333 0.6667 0.0000 x2

Properties
- Calculated volume: 142.1 Å³/cell
- Magnetic moment: 0.0000 μB/atom
- Calculated density: 7.9 Mg/m³
- Total DFT energy (no corrections): -4.576 eV per atom

## Mg3Ga3Ir2Rh (PBE)

Data for an optimized crystal structure of Mg3Ga3Ir2Rh.

a b c (Å): 7.3416 7.3416 3.0655
angles (deg): 90.00 90.00 120.00
Space group P-62m (No. 189)
Symmetry-distinct sites (fractional):
Mg 0.0000 0.3795 0.0000 x3
Ga 0.0000 0.7101 0.5000 x3
Ir 0.3333 0.6667 0.5000 x2
Rh 0.0000 0.0000 0.0000 x1

Properties
- Calculated volume: 143.1 Å³/cell
- Magnetic moment: 0.0000 μB/atom
- Calculated density: 8.9 Mg/m³
- Total DFT energy (no corrections): -4.819 eV per atom

## Mg3Ga3IrRu2 (PBE)

Data for an optimized crystal structure of Mg3Ga3IrRu2.

a b c (Å): 7.3545 7.3545 3.0367
angles (deg): 90.00 90.00 120.00
Space group P-62m (No. 189)
Symmetry-distinct sites (fractional):
Mg 0.0000 0.2845 0.0000 x3
Ga 0.0000 0.6151 0.5000 x3
Ir 0.0000 0.0000 0.5000 x1
Ru 0.3333 0.6667 0.0000 x2

Properties
- Calculated volume: 142.2 Å³/cell
- Magnetic moment: 0.0000 μB/atom
- Calculated density: 7.9 Mg/m³
- Total DFT energy (no corrections): -4.780 eV per atom